(1)
Density functional theory data (PBE) for an optimized crystal structure of SbOsIN2.

Cell: 3.989 3.989 7.070 Å, 90.00 90.00 90.00°
Space group P4/mmm (No. 123)
One atom of each set of equivalent atoms:
Sb  0.000  0.000  0.000 (multiplicity 1)
Os  0.500  0.500  0.500 (multiplicity 1)
I  0.000  0.000  0.500 (multiplicity 1)
N  0.000  0.500  0.000 (multiplicity 2)

Values from the calculation:
- crystal system = tetragonal
- Fermi-level density of states (states/eV/atom) = 1.27
- polymorph energy (0 for the lowest one) (meV per atom) = 894
- formation energy (no corrections) (eV per atom) = 2.105

(2)
Density functional theory data (PBE) for an optimized crystal structure of Mg4ScGa5.

Cell: 3.386 3.386 16.733 Å, 90.00 90.00 90.00°
Space group P4/mmm (No. 123)
One atom of each set of equivalent atoms:
Mg  0.000  0.000  0.100 (multiplicity 2)
Mg  0.000  0.000  0.298 (multiplicity 2)
Sc  0.000  0.000  0.500 (multiplicity 1)
Ga  0.500  0.500  0.000 (multiplicity 1)
Ga  0.500  0.500  0.200 (multiplicity 2)
Ga  0.500  0.500  0.399 (multiplicity 2)

Values from the calculation:
- crystal system = tetragonal
- formation energy (eV/atom) = -0.2187
- Fermi-level density of states (states/eV/atom) = 0.40

(3)
Density functional theory data (PBE) for an optimized crystal structure of Pr3Nd3Au2.

Cell: 3.925 12.569 20.042 Å, 90.00 90.00 90.00°
Space group Cmcm (No. 63)
One atom of each set of equivalent atoms:
Pr  0.000  0.058  0.119 (multiplicity 8)
Pr  0.000  0.368  0.250 (multiplicity 4)
Nd  0.000  0.362  0.750 (multiplicity 4)
Nd  0.000  0.363  0.026 (multiplicity 8)
Au  0.000  0.221  0.629 (multiplicity 8)

Values from the calculation:
- crystal system = orthorhombic
- formation energy (eV/atom) = -0.3362
- Fermi-level density of states (states/eV/atom) = 1.04

(4)
Density functional theory data (PBE) for an optimized crystal structure of PaInMo2.

Cell: 4.8873 4.8873 11.5203 Å, 90.00 90.00 120.00°
Space group R-3m (No. 166, hexagonal axes)
One atom of each set of equivalent atoms:
Pa  0.0000  0.0000  0.0000 (multiplicity 3)
In  0.0000  0.0000  0.5000 (multiplicity 3)
Mo  0.0000  0.0000  0.2243 (multiplicity 6)

Values from the calculation:
- crystal system = trigonal
- formation energy (eV/atom) = 0.1672
- Fermi-level density of states (states/eV/atom) = 1.20

(5)
Density functional theory data (PBE) for an optimized crystal structure of Tb3CSe.

Cell: 3.482 8.189 8.377 Å, 90.00 101.97 90.00°
Space group P2_1/m (No. 11)
One atom of each set of equivalent atoms:
Tb  0.013  0.250  0.010 (multiplicity 2)
Tb  0.158  0.552  0.315 (multiplicity 4)
C  0.395  0.250  0.787 (multiplicity 2)
Se  0.337  0.750  0.676 (multiplicity 2)

Values from the calculation:
- crystal system = monoclinic
- Fermi-level density of states (states/eV/atom) = 0.94
- polymorph energy (0 for the lowest one) (meV per atom) = 361
- formation energy (no corrections) (eV per atom) = -0.513

(6)
Density functional theory data (PBE) for an optimized crystal structure of Li2Cd3Ag2.

Cell: 4.463 20.990 2.917 Å, 90.00 90.00 90.00°
Space group Cmmm (No. 65)
One atom of each set of equivalent atoms:
Li  0.000  0.160  0.000 (multiplicity 4)
Cd  0.000  0.000  0.000 (multiplicity 2)
Cd  0.000  0.422  0.500 (multiplicity 4)
Ag  0.000  0.288  0.500 (multiplicity 4)

Values from the calculation:
- crystal system = orthorhombic
- formation energy (eV/atom) = -0.1295
- Fermi-level density of states (states/eV/atom) = 0.29
- polymorph energy (0 for the lowest one) (meV per atom) = 43

(7)
Density functional theory data (PBE) for an optimized crystal structure of Er2PH.

Cell: 3.7848 3.7848 20.3137 Å, 90.00 90.00 120.00°
Space group R3m (No. 160, hexagonal axes)
One atom of each set of equivalent atoms:
Er  0.0000  0.0000  0.0000 (multiplicity 3)
Er  0.0000  0.0000  0.1753 (multiplicity 3)
P  0.0000  0.0000  0.5833 (multiplicity 3)
H  0.0000  0.0000  0.3581 (multiplicity 3)

Values from the calculation:
- crystal system = trigonal
- Fermi-level density of states (states/eV/atom) = 0.05
- polymorph energy (0 for the lowest one) (meV per atom) = 0

(8)
Density functional theory data (PBE) for an optimized crystal structure of Zr5ZnB2.

Cell: 6.591 6.591 12.878 Å, 90.00 90.00 90.00°
Space group I4/mcm (No. 140)
One atom of each set of equivalent atoms:
Zr  0.000  0.000  0.000 (multiplicity 4)
Zr  0.178  0.322  0.131 (multiplicity 16)
Zn  0.000  0.000  0.250 (multiplicity 4)
B  0.099  0.401  0.500 (multiplicity 8)

Values from the calculation:
- crystal system = tetragonal
- formation energy (eV/atom) = -0.3011
- Fermi-level density of states (states/eV/atom) = 1.28

(9)
Density functional theory data (PBE) for an optimized crystal structure of Pm2Ga2Pt3.

Cell: 4.129 19.309 7.250 Å, 90.00 90.00 90.00°
Space group Cmcm (No. 63)
One atom of each set of equivalent atoms:
Pm  0.000  0.058  0.250 (multiplicity 4)
Pm  0.000  0.152  0.750 (multiplicity 4)
Ga  0.000  0.308  0.554 (multiplicity 8)
Pt  0.000  0.225  0.250 (multiplicity 4)
Pt  0.000  0.434  0.053 (multiplicity 8)

Values from the calculation:
- crystal system = orthorhombic
- formation energy (eV/atom) = -1.0208
- Fermi-level density of states (states/eV/atom) = 0.66
- polymorph energy (0 for the lowest one) (meV per atom) = 0

(10)
Density functional theory data (PBE) for an optimized crystal structure of MgTl2GeS4.

Cell: 7.733 9.437 6.385 Å, 90.00 90.00 90.00°
Space group Pmn2_1 (No. 31)
One atom of each set of equivalent atoms:
Mg  0.000  0.111  0.000 (multiplicity 2)
Tl  0.232  0.337  0.545 (multiplicity 4)
Ge  0.000  0.863  0.491 (multiplicity 2)
S  0.000  0.086  0.612 (multiplicity 2)
S  0.000  0.870  0.137 (multiplicity 2)
S  0.238  0.741  0.580 (multiplicity 4)

Values from the calculation:
- crystal system = orthorhombic
- Fermi-level density of states (states/eV/atom) = 0.00
- formation energy (no corrections) (eV per atom) = -0.627

(11)
Density functional theory data (PBE) for an optimized crystal structure of HgPPb2.

Cell: 3.887 3.887 6.985 Å, 90.00 90.00 90.00°
Space group P4mm (No. 99)
One atom of each set of equivalent atoms:
Hg  0.000  0.000  0.000 (multiplicity 1)
P  0.500  0.500  0.240 (multiplicity 1)
Pb  0.000  0.000  0.429 (multiplicity 1)
Pb  0.500  0.500  0.792 (multiplicity 1)

Values from the calculation:
- crystal system = tetragonal
- formation energy (eV/atom) = 0.2165
- Fermi-level density of states (states/eV/atom) = 0.42
- polymorph energy (0 for the lowest one) (meV per atom) = 174

(12)
Density functional theory data (PBE) for an optimized crystal structure of LiZr4Se.

Cell: 8.229 8.229 8.229 Å, 90.00 90.00 90.00°
Space group F-43m (No. 216)
One atom of each set of equivalent atoms:
Li  0.000  0.000  0.000 (multiplicity 4)
Zr  0.127  0.127  0.373 (multiplicity 16)
Se  0.250  0.250  0.750 (multiplicity 4)

Values from the calculation:
- crystal system = cubic
- Fermi-level density of states (states/eV/atom) = 1.35
- formation energy (no corrections) (eV per atom) = 0.421

(13)
Density functional theory data (PBE) for an optimized crystal structure of Sc2AsRu.

Cell: 4.493 4.493 3.481 Å, 90.00 90.00 90.00°
Space group P4/mmm (No. 123)
One atom of each set of equivalent atoms:
Sc  0.000  0.500  0.000 (multiplicity 2)
As  0.000  0.000  0.500 (multiplicity 1)
Ru  0.500  0.500  0.500 (multiplicity 1)

Values from the calculation:
- crystal system = tetragonal
- formation energy (eV/atom) = -0.7524
- Fermi-level density of states (states/eV/atom) = 0.57

(14)
Density functional theory data (PBE) for an optimized crystal structure of Cd2Hg5Pb12.

Cell: 19.572 10.688 5.572 Å, 90.00 104.43 90.00°
Space group C2/m (No. 12)
One atom of each set of equivalent atoms:
Cd  0.000  0.249  0.000 (multiplicity 4)
Hg  0.000  0.000  0.500 (multiplicity 2)
Hg  0.195  0.000  0.657 (multiplicity 4)
Hg  0.200  0.500  0.761 (multiplicity 4)
Pb  0.088  0.500  0.143 (multiplicity 4)
Pb  0.094  0.000  0.073 (multiplicity 4)
Pb  0.095  0.265  0.606 (multiplicity 8)
Pb  0.201  0.253  0.205 (multiplicity 8)

Values from the calculation:
- crystal system = monoclinic
- formation energy (eV/atom) = 0.0492
- Fermi-level density of states (states/eV/atom) = 0.37
- polymorph energy (0 for the lowest one) (meV per atom) = 0

(15)
Density functional theory data (PBE) for an optimized crystal structure of Al2SeCl.

Cell: 3.803 3.803 13.200 Å, 90.00 90.00 90.00°
Space group I-4m2 (No. 119)
One atom of each set of equivalent atoms:
Al  0.000  0.000  0.000 (multiplicity 2)
Al  0.000  0.500  0.250 (multiplicity 2)
Se  0.000  0.000  0.500 (multiplicity 2)
Cl  0.000  0.500  0.750 (multiplicity 2)

Values from the calculation:
- crystal system = tetragonal
- Fermi-level density of states (states/eV/atom) = 0.10
- polymorph energy (0 for the lowest one) (meV per atom) = 471
- formation energy (no corrections) (eV per atom) = -0.164

(16)
Density functional theory data (PBE) for an optimized crystal structure of TbNdNiRu.

Cell: 6.918 6.918 6.918 Å, 90.00 90.00 90.00°
Space group F-43m (No. 216)
One atom of each set of equivalent atoms:
Tb  0.000  0.000  0.000 (multiplicity 4)
Nd  0.000  0.000  0.500 (multiplicity 4)
Ni  0.250  0.250  0.250 (multiplicity 4)
Ru  0.250  0.250  0.750 (multiplicity 4)

Values from the calculation:
- crystal system = cubic
- formation energy (eV/atom) = -0.2593
- Fermi-level density of states (states/eV/atom) = 0.82
- polymorph energy (0 for the lowest one) (meV per atom) = 32

(17)
Density functional theory data (PBE) for an optimized crystal structure of ReNiCl2.

Cell: 2.844 3.999 5.610 Å, 90.00 100.09 90.00°
Space group P2/m (No. 10)
One atom of each set of equivalent atoms:
Re  0.000  0.000  0.000 (multiplicity 1)
Ni  0.000  0.000  0.500 (multiplicity 1)
Cl  0.128  0.500  0.252 (multiplicity 2)

Values from the calculation:
- crystal system = monoclinic
- Fermi-level density of states (states/eV/atom) = 0.90
- polymorph energy (0 for the lowest one) (meV per atom) = 599
- formation energy (no corrections) (eV per atom) = 0.671

(18)
Density functional theory data (PBE) for an optimized crystal structure of Eu2TePd.

Cell: 3.827 3.827 7.554 Å, 90.00 90.00 90.00°
Space group P4/mmm (No. 123)
One atom of each set of equivalent atoms:
Eu  0.000  0.000  0.238 (multiplicity 2)
Te  0.500  0.500  0.500 (multiplicity 1)
Pd  0.500  0.500  0.000 (multiplicity 1)

Values from the calculation:
- crystal system = tetragonal
- Fermi-level density of states (states/eV/atom) = 4.83
- polymorph energy (0 for the lowest one) (meV per atom) = 0
- formation energy (no corrections) (eV per atom) = -0.998

(19)
Density functional theory data (PBE) for an optimized crystal structure of Tb2TmSn9.

Cell: 4.790 4.790 13.677 Å, 90.00 90.00 90.00°
Space group P4/mmm (No. 123)
One atom of each set of equivalent atoms:
Tb  0.000  0.000  0.167 (multiplicity 2)
Tm  0.000  0.000  0.500 (multiplicity 1)
Sn  0.000  0.500  0.000 (multiplicity 2)
Sn  0.000  0.500  0.335 (multiplicity 4)
Sn  0.500  0.500  0.168 (multiplicity 2)
Sn  0.500  0.500  0.500 (multiplicity 1)

Values from the calculation:
- crystal system = tetragonal
- formation energy (eV/atom) = -0.4147
- Fermi-level density of states (states/eV/atom) = 0.43

(20)
Density functional theory data (PBE) for an optimized crystal structure of ScMoRh.

Cell: 6.148 6.148 6.148 Å, 90.00 90.00 90.00°
Space group F-43m (No. 216)
One atom of each set of equivalent atoms:
Sc  0.000  0.000  0.000 (multiplicity 4)
Mo  0.000  0.000  0.500 (multiplicity 4)
Rh  0.250  0.250  0.250 (multiplicity 4)

Values from the calculation:
- crystal system = cubic
- formation energy (eV/atom) = 0.0732
- Fermi-level density of states (states/eV/atom) = 0.66
- polymorph energy (0 for the lowest one) (meV per atom) = 284

(21)
Density functional theory data (PBE) for an optimized crystal structure of LiMn2Cu.

Cell: 3.263 3.263 8.289 Å, 90.00 90.00 90.00°
Space group I4/mmm (No. 139)
One atom of each set of equivalent atoms:
Li  0.000  0.000  0.000 (multiplicity 2)
Mn  0.000  0.500  0.250 (multiplicity 4)
Cu  0.000  0.000  0.500 (multiplicity 2)

Values from the calculation:
- crystal system = tetragonal
- formation energy (eV/atom) = 0.3395
- Fermi-level density of states (states/eV/atom) = 0.85

(22)
Density functional theory data (PBE) for an optimized crystal structure of Pr2HoMg2.

Cell: 5.253 7.112 8.306 Å, 90.00 90.00 90.00°
Space group Immm (No. 71)
One atom of each set of equivalent atoms:
Pr  0.000  0.000  0.194 (multiplicity 4)
Ho  0.000  0.500  0.000 (multiplicity 2)
Mg  0.000  0.291  0.500 (multiplicity 4)

Values from the calculation:
- crystal system = orthorhombic
- formation energy (eV/atom) = 0.0312
- Fermi-level density of states (states/eV/atom) = 1.38
- polymorph energy (0 for the lowest one) (meV per atom) = 94

(23)
Density functional theory data (PBE) for an optimized crystal structure of CrInReP.

Cell: 8.388 3.215 5.206 Å, 90.00 113.90 90.00°
Space group Cm (No. 8)
One atom of each set of equivalent atoms:
Cr  0.000  0.000  0.000 (multiplicity 2)
In  0.214  0.000  0.738 (multiplicity 2)
Re  0.419  0.000  0.378 (multiplicity 2)
P  0.188  0.500  0.279 (multiplicity 2)

Values from the calculation:
- crystal system = monoclinic
- formation energy (eV/atom) = 0.1939
- Fermi-level density of states (states/eV/atom) = 0.42
- polymorph energy (0 for the lowest one) (meV per atom) = 173

(24)
Density functional theory data (PBE) for an optimized crystal structure of FeB2Ru.

Cell: 5.209 5.209 5.209 Å, 90.00 90.00 90.00°
Space group Fm-3m (No. 225)
One atom of each set of equivalent atoms:
Fe  0.000  0.000  0.000 (multiplicity 4)
B  0.250  0.250  0.250 (multiplicity 8)
Ru  0.000  0.000  0.500 (multiplicity 4)

Values from the calculation:
- crystal system = cubic
- formation energy (eV/atom) = 0.0355
- Fermi-level density of states (states/eV/atom) = 0.83
- polymorph energy (0 for the lowest one) (meV per atom) = 99

(25)
Density functional theory data (PBE) for an optimized crystal structure of SrBi3W.

Cell: 5.519 5.519 5.519 Å, 90.00 90.00 90.00°
Space group Pm-3m (No. 221)
One atom of each set of equivalent atoms:
Sr  0.000  0.000  0.000 (multiplicity 1)
Bi  0.000  0.500  0.500 (multiplicity 3)
W  0.500  0.500  0.500 (multiplicity 1)

Values from the calculation:
- crystal system = cubic
- formation energy (eV/atom) = 0.3768
- Fermi-level density of states (states/eV/atom) = 1.11
- polymorph energy (0 for the lowest one) (meV per atom) = 0